[1]
ThAlZnCu3 | PBE | optimized geometry

a b c (Å): 5.850 6.126 6.708
angles (deg): 117.17 90.00 90.00
Atoms (fractional coordinates):
Th 0.750 0.297 0.593
Th 0.250 0.703 0.407
Al 0.250 0.953 0.905
Al 0.750 0.047 0.095
Zn 0.250 0.361 0.722
Zn 0.750 0.639 0.278
Cu 0.250 0.153 0.306
Cu 0.000 0.299 0.000
Cu 0.500 0.701 0.000
Cu 0.500 0.299 0.000
Cu 0.000 0.701 0.000
Cu 0.750 0.847 0.694

Summary:
The energy of formation comes out at -12 meV per atom. The calculation puts the density of states at the Fermi level at 7.4 states/eV/cell. Its density is 8.00 g cm⁻³.


[2]
Th3Al2Zn4Cu2 | PBE | optimized geometry

a b c (Å): 4.155 4.155 13.086
angles (deg): 99.14 99.14 90.00
Atoms (fractional coordinates):
Th 0.000 0.000 0.000
Th 0.207 0.207 0.415
Th 0.793 0.793 0.585
Al 0.449 0.449 0.899
Al 0.551 0.551 0.101
Zn 0.391 0.891 0.782
Zn 0.891 0.391 0.782
Zn 0.109 0.609 0.218
Zn 0.609 0.109 0.218
Cu 0.330 0.330 0.660
Cu 0.670 0.670 0.340

Summary:
The energy of formation comes out at -230 meV per atom. The calculation puts the density of states at the Fermi level at 5.4 states/eV/cell. Its density is 8.59 g cm⁻³.


[3]
Th3Al2ZnCu6 | PBE | optimized geometry

a b c (Å): 5.690 5.690 8.295
angles (deg): 90.00 90.00 120.00
Atoms (fractional coordinates):
Th 0.333 0.667 0.629
Th 0.667 0.333 0.371
Th 0.000 0.000 0.000
Al 0.667 0.333 0.969
Al 0.333 0.667 0.031
Zn 0.000 0.000 0.500
Cu 0.634 0.817 0.280
Cu 0.183 0.366 0.280
Cu 0.183 0.817 0.280
Cu 0.817 0.634 0.720
Cu 0.366 0.183 0.720
Cu 0.817 0.183 0.720

Summary:
The energy of formation comes out at -41 meV per atom. The calculation puts the density of states at the Fermi level at 8.4 states/eV/cell. Its density is 8.55 g cm⁻³.


The evaluated uncorrected energy for the records listed, in turn: -24.8; -45.6; -56.1 eV per formula unit.